No. 1
# TlSn5Pd3

An optimized crystal structure of TlSn5Pd3 (PBE-GGA, OQMD).

Unit cell a=5.613 b=5.613 c=7.788 alpha=90.00 beta=90.00 gamma=120.00
Fractional positions:
Sn (0.000, 0.000, 0.500)
Sn (0.667, 0.333, 0.798)
Sn (0.333, 0.667, 0.202)
Tl (0.000, 0.000, 0.000)
Pd (0.500, 0.000, 0.500)
Sn (0.333, 0.667, 0.798)
Pd (0.000, 0.500, 0.500)
Sn (0.667, 0.333, 0.202)
Pd (0.500, 0.500, 0.500)

No. 2
# TmSnPd2

An optimized crystal structure of TmSnPd2 (PBE-GGA, OQMD).

Unit cell a=4.260 b=6.185 c=6.000 alpha=90.00 beta=90.00 gamma=90.00
Fractional positions:
Sn (0.000, 0.097, 0.621)
Pd (0.000, 0.732, 0.349)
Pd (0.000, 0.193, 0.157)
Tm (0.500, 0.422, 0.373)
Sn (0.500, 0.903, 0.121)
Pd (0.500, 0.807, 0.657)
Tm (0.000, 0.578, 0.873)
Pd (0.500, 0.268, 0.849)

No. 3
# TmSnPd2

An optimized crystal structure of TmSnPd2 (PBE-GGA, OQMD).

Unit cell a=3.989 b=6.228 c=6.498 alpha=90.00 beta=90.00 gamma=90.00
Fractional positions:
Sn (0.000, 0.841, 0.820)
Pd (0.000, 0.418, 0.975)
Pd (0.500, 0.076, 0.027)
Sn (0.000, 0.159, 0.320)
Pd (0.000, 0.582, 0.475)
Tm (0.500, 0.352, 0.678)
Tm (0.500, 0.648, 0.178)
Pd (0.500, 0.924, 0.527)

Number 1: VASP energy -40.26 eV/cell. Number 2: VASP energy -44.15 eV/cell. Number 3: VASP energy -43.70 eV/cell.